Version i
The following is a DFT calculation (PBE) of Ti4GaN after structural relaxation.

For the total magnetization, the calculation gives 0.0 μB per cell.

It has space group Pmmn (No. 59, origin choice 2), with a = 4.0404 Å, b = 7.2315 Å, c = 6.4473 Å, α = 90.00°, β = 90.00° and γ = 90.00°. The inequivalent atoms are Ti at (0.2500, 0.0465, 0.2156), Ti at (0.2500, 0.2500, 0.7419), Ti at (0.2500, 0.7500, 0.5471), Ga at (0.2500, 0.7500, 0.9642) and N at (0.2500, 0.2500, 0.4333).

=====

Version ii
The following is a DFT calculation (PBE) of Ti4GaN after structural relaxation.

For the total magnetization, the calculation gives 0.0 μB per cell.

It has space group Cmcm (No. 63), with a = 3.0923 Å, b = 19.3616 Å, c = 5.6810 Å, α = 90.00°, β = 90.00° and γ = 90.00°. The inequivalent atoms are Ti at (0.0000, 0.0000, 0.0000), Ti at (0.0000, 0.1924, 0.0065), Ti at (0.0000, 0.4036, 0.7500), Ga at (0.0000, 0.4025, 0.2500) and N at (0.0000, 0.2871, 0.7500).

=====

Which of them is the most stable? Correct choice: version ii.

=====

Version i
The following is a DFT calculation (PBE) of Tl3GaN after structural relaxation.

For the total magnetization, the calculation gives 0.0 μB per cell.

It has space group Pm-3m (No. 221), with a = 5.3873 Å, b = 5.3873 Å, c = 5.3873 Å, α = 90.00°, β = 90.00° and γ = 90.00°. The inequivalent atoms are Tl at (0.0000, 0.0000, 0.5000), Ga at (0.0000, 0.0000, 0.0000) and N at (0.5000, 0.5000, 0.5000).

=====

Version ii
The following is a DFT calculation (PBE) of Tl3GaN after structural relaxation.

For the total magnetization, the calculation gives 0.0 μB per cell.

It has space group Pm-3m (No. 221), with a = 5.0063 Å, b = 5.0063 Å, c = 5.0063 Å, α = 90.00°, β = 90.00° and γ = 90.00°. The inequivalent atoms are Tl at (0.0000, 0.0000, 0.5000), Ga at (0.5000, 0.5000, 0.5000) and N at (0.0000, 0.0000, 0.0000).

=====

Which of them is the most stable? Correct choice: version ii.

=====

Version i
The following is a DFT calculation (PBE) of TlGaN2 after structural relaxation.

For the total magnetization, the calculation gives 0.0 μB per cell.

It has space group R-3m (No. 166, hexagonal axes), with a = 3.2757 Å, b = 3.2757 Å, c = 18.3975 Å, α = 90.00°, β = 90.00° and γ = 120.00°. The inequivalent atoms are Tl at (0.0000, 0.0000, 0.0000), Ga at (0.0000, 0.0000, 0.5000) and N at (0.0000, 0.0000, 0.1131).

=====

Version ii
The following is a DFT calculation (PBE) of TlGaN2 after structural relaxation.

For the total magnetization, the calculation gives 0.0 μB per cell.

It has space group Fm-3m (No. 225), with a = 5.9165 Å, b = 5.9165 Å, c = 5.9165 Å, α = 90.00°, β = 90.00° and γ = 90.00°. The inequivalent atoms are Tl at (0.0000, 0.0000, 0.0000), Ga at (0.0000, 0.0000, 0.5000) and N at (0.2500, 0.2500, 0.2500).

=====

Which of them is the most stable? Correct choice: version i.

=====

Version i
The following is a DFT calculation (PBE) of Tm4Ga2N after structural relaxation.

For the total magnetization, the calculation gives 0.0 μB per cell.

It has space group I4/mmm (No. 139), with a = 4.5724 Å, b = 4.5724 Å, c = 14.9229 Å, α = 90.00°, β = 90.00° and γ = 90.00°. The inequivalent atoms are Tm at (0.0000, 0.0000, 0.1692), Tm at (0.0000, 0.5000, 0.0000), Ga at (0.0000, 0.0000, 0.3663) and N at (0.0000, 0.0000, 0.0000).

=====

Version ii
The following is a DFT calculation (PBE) of Tm4Ga2N after structural relaxation.

For the total magnetization, the calculation gives 0.0 μB per cell.

It has space group Pbam (No. 55), with a = 7.6436 Å, b = 11.6816 Å, c = 3.5233 Å, α = 90.00°, β = 90.00° and γ = 90.00°. The inequivalent atoms are Tm at (0.1232, 0.1891, 0.0000), Tm at (0.2001, 0.9439, 0.5000), Ga at (0.0726, 0.6561, 0.5000) and N at (0.0000, 0.0000, 0.0000).

=====

Which of them is the most stable? Correct choice: version i.